The following is a PBE calculation of crystalline KAgHg2 at its relaxed geometry, from Alexandria.

Unit cell a=6.3021 b=6.3021 c=3.3675 alpha=99.95 beta=99.95 gamma=117.45
Fractional coordinates of all 4 atoms:
K (0.0000, 0.0000, 0.0000)
Ag (0.5000, 0.5000, 0.0000)
Hg (0.0000, 0.5000, 0.5000)
Hg (0.5000, 0.0000, 0.5000)

Its energy of formation is 38 meV per atom. The relative energy among the computed polymorphs comes out at 0.159 eV per atom.